Crystalline In3PdAu5 at its relaxed geometry, computed with PBE.

Cell: 8.057 8.057 8.057 Å, 115.70 115.70 97.62°
Fractional positions:
In1 0.116 0.616 0.732
In2 0.250 0.250 0.000
In3 0.384 0.116 0.500
In4 0.616 0.884 0.500
In5 0.750 0.750 0.000
In6 0.884 0.384 0.268
Pd1 0.250 0.750 0.500
Pd2 0.750 0.250 0.500
Au1 0.000 0.000 0.000
Au2 0.061 0.167 0.500
Au3 0.167 0.667 0.107
Au4 0.333 0.439 0.500
Au5 0.439 0.939 0.107
Au6 0.500 0.500 0.000
Au7 0.561 0.061 0.893
Au8 0.667 0.561 0.500
Au9 0.833 0.333 0.893
Au10 0.939 0.833 0.500

Output
Formation enthalpy at 0 K   -17.4 meV per atom
Calculated total energy   -3.33 eV per atom
SG   I4/mcm (140)
N(E_F)   0.248 states/eV per atom
ρ   12.22 Mg/m³
M_tot   0.000 μB/atom